The following is a DFT calculation (PBE-GGA) of a relaxed GaSi2OsRh crystal.

Calculated total energy in eV/atom: -4.967
Uncorrected formation energy in eV per atom: 1.524
Crystal system: tetragonal
Spin magnetization in μB/atom: 0.1579
Polymorph energy (0 for the lowest one) in eV per atom: 0.577
Volume in Å³/cell: 89.5

Cell lengths 4.495, 4.430, 4.495 Å; angles 90.00, 90.00, 90.00 degrees
Last column: magnetic moment on the atom in μB.
Atoms (fractional coordinates):
Rh (0.000, 0.500, 0.000)  0.10
Si (0.000, 0.000, 0.500)  0.01
Si (0.500, 0.000, 0.000)  -0.01
Os (0.500, 0.500, 0.500)  0.64
Ga (0.000, 0.000, 0.000)  0.01